First-principles (PBE) data for a relaxed structure of Tb3ScIn4, as listed in the Alexandria database.

Structure (POSCAR):
```
Tb3ScIn4
1.0
3.6760 0.0000 0.0000
0.0000 3.6760 0.0000
0.0000 0.0000 15.2692
Tb Sc In
3 1 4
direct
0.0000 0.0000 0.0000
0.0000 0.0000 0.2598
0.0000 0.0000 0.7402
0.0000 0.0000 0.5000
0.5000 0.5000 0.1302
0.5000 0.5000 0.3894
0.5000 0.5000 0.6106
0.5000 0.5000 0.8698
```

The value obtained for the formation energy from the elements is -461 meV/atom. For the theoretical density, the calculation gives 7.89 g/cm3. The total magnetic moment comes out at 0.00 μB/f.u. Its density of states at the Fermi level is 0.552 states/eV per atom. The total energy comes out at -4.36 eV per atom.

---

First-principles (PBE) data for a relaxed structure of ZrVCrC2, as listed in the Alexandria database.

Structure (POSCAR):
```
ZrVCrC2
1.0
3.8430 0.0000 0.0000
0.0000 3.8430 0.0000
0.0000 0.0000 4.8014
Zr V Cr C
1 1 1 2
direct
0.0000 0.0000 0.0000
0.5000 0.5000 0.0000
0.0000 0.0000 0.5000
0.0000 0.5000 0.5000
0.5000 0.0000 0.5000
```

The value obtained for the formation energy from the elements is 1604 meV/atom. For the theoretical density, the calculation gives 5.11 g/cm3. The total magnetic moment comes out at 0.00 μB/f.u. Its density of states at the Fermi level is 1.080 states/eV per atom. The total energy comes out at -7.54 eV per atom.

---

First-principles (PBE) data for a relaxed structure of BiIrNF2, as listed in the Alexandria database.

Structure (POSCAR):
```
BiIrNF2
1.0
4.3650 0.0000 0.0000
0.0000 4.3650 0.0000
0.0000 0.0000 5.4068
Bi Ir N F
1 1 1 2
direct
0.0000 0.0000 0.0000
0.0000 0.0000 0.5000
0.5000 0.5000 0.5000
0.0000 0.5000 0.0000
0.5000 0.0000 0.0000
```

The calculation puts the formation energy from raw total energies at 245 kJ/mol of formula units. For the theoretical density, the calculation gives 7.31 g/cm3. The total magnetic moment comes out at 0.90 μB/f.u. Its density of states at the Fermi level is 0.221 states/eV per atom. The excess energy over the best structure of this formula in the dataset comes out at 736 meV/atom. The total energy comes out at -4.45 eV per atom.

---

First-principles (PBE) data for a relaxed structure of ScTi2Re, as listed in the Alexandria database.

Structure (POSCAR):
```
ScTi2Re
1.0
-3.6745 3.6745 2.8076
3.6745 -3.6745 2.8076
3.6745 3.6745 -2.8076
Sc Ti Re
2 4 2
direct
0.0000 0.0000 0.0000
0.7500 0.2500 0.5000
0.1687 0.6250 0.0437
0.3750 0.4187 0.5437
0.5813 0.1250 0.9563
0.8750 0.8313 0.4563
0.2500 0.7500 0.5000
0.5000 0.5000 0.0000
```

The value obtained for the formation energy from the elements is 316 meV/atom. For the theoretical density, the calculation gives 7.16 g/cm3. The total magnetic moment comes out at 0.00 μB/f.u. Its density of states at the Fermi level is 1.252 states/eV per atom. The total energy comes out at -8.33 eV per atom.

---

First-principles (PBE) data for a relaxed structure of LiLaCr2, as listed in the Alexandria database.

Structure (POSCAR):
```
LiLaCr2
1.0
4.4892 -1.6541 0.0000
4.4892 1.6541 0.0000
-1.9319 0.0000 5.1622
Li La Cr
1 1 2
direct
0.0000 0.0000 0.0000
0.5000 0.5000 0.5000
0.2693 0.2693 0.8839
0.7307 0.7307 0.1161
```

The value obtained for the formation energy from the elements is 680 meV/atom. For the theoretical density, the calculation gives 5.41 g/cm3. The total magnetic moment comes out at 0.00 μB/f.u. Its density of states at the Fermi level is 0.849 states/eV per atom. The excess energy over the best structure of this formula in the dataset comes out at 294 meV/atom. The total energy comes out at -5.84 eV per atom.

---

First-principles (PBE) data for a relaxed structure of NbMo3C4, as listed in the Alexandria database.

Structure (POSCAR):
```
NbMo3C4
1.0
1.5504 0.8951 10.3066
-1.5504 0.8951 10.3066
0.0000 -1.7903 10.3066
Nb Mo C
1 3 4
direct
0.0000 0.0000 0.0000
0.2503 0.2503 0.2503
0.5000 0.5000 0.5000
0.7497 0.7497 0.7497
0.1255 0.1255 0.1255
0.3760 0.3760 0.3760
0.6240 0.6240 0.6240
0.8745 0.8745 0.8745
```

The value obtained for the formation energy from the elements is 25 meV/atom. For the theoretical density, the calculation gives 8.30 g/cm3. The total magnetic moment comes out at 0.00 μB/f.u. Its density of states at the Fermi level is 0.498 states/eV per atom. The total energy comes out at -9.91 eV per atom.

---

First-principles (PBE) data for a relaxed structure of Ac9Tb2Nd, as listed in the Alexandria database.

Structure (POSCAR):
```
Ac9Tb2Nd
1.0
5.5042 0.0000 0.0000
0.0000 5.5042 0.0000
0.0000 0.0000 16.5250
Ac Tb Nd
9 2 1
direct
0.0000 0.0000 0.0000
0.0000 0.0000 0.3343
0.0000 0.0000 0.6657
0.0000 0.5000 0.1683
0.0000 0.5000 0.5000
0.0000 0.5000 0.8317
0.5000 0.0000 0.1683
0.5000 0.0000 0.5000
0.5000 0.0000 0.8317
0.5000 0.5000 0.3343
0.5000 0.5000 0.6657
0.5000 0.5000 0.0000
```

The value obtained for the formation energy from the elements is 30 meV/atom. For the theoretical density, the calculation gives 8.31 g/cm3. The total magnetic moment comes out at 0.00 μB/f.u. Its density of states at the Fermi level is 1.573 states/eV per atom. The total energy comes out at -4.22 eV per atom.

---

First-principles (PBE) data for a relaxed structure of SrTlHgCl5, as listed in the Alexandria database.

Structure (POSCAR):
```
SrTlHgCl5
1.0
4.6650 -6.3180 0.0000
4.6650 6.3180 0.0000
-4.0278 0.0000 9.5275
Sr Tl Hg Cl
2 2 2 10
direct
0.0000 0.0000 0.0000
0.0000 0.0000 0.5000
0.3367 0.6633 0.7500
0.6633 0.3367 0.2500
0.3220 0.6780 0.2500
0.6780 0.3220 0.7500
0.0806 0.6661 0.3788
0.0935 0.9065 0.7500
0.2676 0.3814 0.0559
0.3339 0.9194 0.1212
0.3814 0.2676 0.5559
0.6186 0.7324 0.4441
0.6661 0.0806 0.8788
0.7324 0.6186 0.9441
0.9065 0.0935 0.2500
0.9194 0.3339 0.6212
```

The calculation puts the formation energy from raw total energies at -1076 kJ/mol of formula units. For the theoretical density, the calculation gives 3.96 g/cm3. The total magnetic moment comes out at 0.00 μB/f.u. Its density of states at the Fermi level is 0.000 states/eV per atom. The total energy comes out at -3.09 eV per atom.